1.
Here is a relaxed structure of Tl2In4Pb5 from the Alexandria database. Energies are from GGA-PBE.

Geometry as POSCAR:
```
Tl2In4Pb5
1.0
6.3224 -3.3581 0.0000
6.3224 3.3581 0.0000
-5.5303 0.0000 8.1538
Tl In Pb
2 4 5
Direct
0.2330 0.2330 0.2984
0.7670 0.7670 0.7016
0.2330 0.2330 0.6455
0.2352 0.2352 0.9822
0.7648 0.7648 0.0178
0.7670 0.7670 0.3545
0.2513 0.7409 0.6757
0.2591 0.7487 0.3243
0.5000 0.5000 0.0000
0.7409 0.2513 0.6757
0.7487 0.2591 0.3243
```

Computed properties:
The energy relative to the lowest polymorph listed for this composition comes out at 0.000 eV/atom. The density of states at the Fermi level is 0.488 states/eV/atom. The uncorrected energy comes out at -3.046 eV per atom. The value obtained for the density is 9.1 Mg/m³. As for the formation energy: 65 meV/atom. Its space-group type is No. 12. The value obtained for the calculated volume is 31.48 Å³/atom.

=====

2.
Here is a relaxed structure of TlIn5Pb8 from the Alexandria database. Energies are from GGA-PBE.

Geometry as POSCAR:
```
TlIn5Pb8
1.0
-4.8545 4.8545 4.7007
4.8545 -4.8545 4.7007
4.8545 4.8545 -4.7007
Tl In Pb
1 5 8
Direct
0.0000 0.0000 0.0000
0.2288 0.6661 0.2161
0.3339 0.5500 0.5627
0.4500 0.0126 0.7839
0.7500 0.2500 0.5000
0.9874 0.7712 0.4373
0.1208 0.6780 0.8172
0.1839 0.2829 0.7770
0.3220 0.1392 0.4428
0.5058 0.4069 0.2230
0.5931 0.8161 0.0990
0.6964 0.8792 0.5572
0.7171 0.4942 0.9010
0.8608 0.3036 0.1828
```

Computed properties:
The density of states at the Fermi level is 0.470 states/eV/atom. The uncorrected energy comes out at -3.194 eV per atom. The value obtained for the density is 9.1 Mg/m³. As for the formation energy: 72 meV/atom. Its space-group type is No. 82. The value obtained for the calculated volume is 31.65 Å³/atom.

=====

3.
Here is a relaxed structure of TlIn4Pb from the Alexandria database. Energies are from GGA-PBE.

Geometry as POSCAR:
```
TlIn4Pb
1.0
11.3019 0.0000 0.0000
0.0000 5.3106 0.0000
-3.3589 0.0000 5.7124
Tl In Pb
2 8 2
Direct
0.0000 0.0000 0.0000
0.5000 0.5000 0.0000
0.1663 0.5000 0.8665
0.1671 0.5000 0.3658
0.3329 0.0000 0.6342
0.3337 0.0000 0.1335
0.6663 0.0000 0.8665
0.6671 0.0000 0.3658
0.8329 0.5000 0.6342
0.8337 0.5000 0.1335
0.0000 0.0000 0.5000
0.5000 0.5000 0.5000
```

Computed properties:
The energy relative to the lowest polymorph listed for this composition comes out at 0.000 eV/atom. The density of states at the Fermi level is 0.328 states/eV/atom. The uncorrected energy comes out at -2.821 eV per atom. The value obtained for the density is 8.4 Mg/m³. As for the formation energy: 17 meV/atom. Its space-group type is No. 12. The value obtained for the calculated volume is 28.57 Å³/atom.